Record 1
Entry from Alexandria: an optimized crystal structure of MgPb2Br (PBE).

Output
Calculated volume (Å³/f.u.): 123
Total magnetization (μB/atom): 0.00
Total DFT energy (no corrections) (eV per atom): -2.7812
Energy above the lowest structure with this stoichiometry (kJ/mol of atoms): 22.8

a b c (Å): 4.480 4.480 12.662
angles (deg): 79.81 79.81 90.00
Atoms (fractional coordinates):
1 Mg 0.500 0.500 0.000
2 Br 0.750 0.250 0.500
3 Pb 0.133 0.625 0.250
4 Pb 0.375 0.383 0.750
5 Br 0.000 0.000 0.000
6 Pb 0.875 0.867 0.750
7 Pb 0.617 0.125 0.250
8 Mg 0.250 0.750 0.500

Record 2
Entry from Alexandria: an optimized crystal structure of RbSr2Bi2 (PBE).

Output
Calculated volume (Å³/f.u.): 257
Total magnetization (μB/atom): 0.00
Total DFT energy (no corrections) (eV per atom): -2.8594
Energy above the lowest structure with this stoichiometry (kJ/mol of atoms): 24.8
Calculated formation energy (eV/atom): -0.441

a b c (Å): 6.365 6.365 7.771
angles (deg): 65.83 65.83 90.00
Atoms (fractional coordinates):
1 Rb 0.000 0.000 0.000
2 Bi 0.250 0.750 0.500
3 Sr 0.682 0.682 0.636
4 Sr 0.318 0.318 0.364
5 Bi 0.750 0.250 0.500

Record 3
Entry from Alexandria: an optimized crystal structure of Ca2MgN (PBE).

Output
Calculated volume (Å³/f.u.): 97
Total magnetization (μB/atom): 0.00
Total DFT energy (no corrections) (eV per atom): -4.0269
Energy above the lowest structure with this stoichiometry (kJ/mol of atoms): 0.0

a b c (Å): 3.543 3.542 9.156
angles (deg): 101.10 90.02 120.00
Atoms (fractional coordinates):
1 Mg 0.083 0.925 0.052
2 Ca 0.299 0.353 0.694
3 Ca 0.871 0.497 0.410
4 N 0.585 0.925 0.552

Record 4
Entry from Alexandria: an optimized crystal structure of Nd7TmCd4 (PBE).

Output
Calculated volume (Å³/f.u.): 374
Total magnetization (μB/atom): 0.00
Total DFT energy (no corrections) (eV per atom): -3.4837
Calculated formation energy (eV/atom): -0.025

a b c (Å): 5.862 9.235 8.086
angles (deg): 70.06 68.75 71.49
Atoms (fractional coordinates):
1 Tm 0.000 0.000 0.000
2 Nd 0.500 0.000 0.000
3 Nd 0.930 0.408 0.731
4 Nd 0.204 0.116 0.475
5 Nd 0.070 0.592 0.269
6 Nd 0.738 0.305 0.220
7 Nd 0.262 0.695 0.780
8 Cd 0.459 0.713 0.369
9 Nd 0.796 0.884 0.525
10 Cd 0.541 0.287 0.631
11 Cd 0.319 0.343 0.019
12 Cd 0.681 0.657 0.981